[1]
{
  "formula": "HoTl",
  "functional": "PBE-GGA",
  "state": "relaxed",
  "total_magnetization_mub_per_fu": 0.00,
  "delta_e_f_ev_per_atom": -0.03,
  "space_group": "No. 225",
  "n_ef_per_ev_atom": 2.19,
  "total_energy_ev_per_cell": -7.0,
  "cell": [[4.415, 0.000, 0.000], [2.208, 3.824, 0.000], [2.208, 1.275, 3.605]],
  "species": ["Ho", "Tl"],
  "fractional_positions": [[0.500, 0.500, 0.500], [0.000, 0.000, 0.000]]
}



[2]
{
  "formula": "Ho3Tl2",
  "functional": "PBE-GGA",
  "state": "relaxed",
  "total_magnetization_mub_per_fu": 0.00,
  "delta_e_f_ev_per_atom": -0.14,
  "space_group": "No. 141",
  "n_ef_per_ev_atom": 1.53,
  "total_energy_ev_per_cell": -38.3,
  "cell": [[5.758, 0.000, -1.993], [-0.690, 5.716, -1.993], [-0.147, -0.166, 8.887]],
  "species": ["Tl", "Tl", "Tl", "Tl", "Ho", "Ho", "Ho", "Ho", "Ho", "Ho"],
  "fractional_positions": [[0.561, 0.561, 0.122], [0.311, 0.811, 0.622], [0.704, 0.204, 0.407], [0.954, 0.954, 0.907], [0.132, 0.382, 0.265], [0.507, 0.007, 0.015], [0.633, 0.382, 0.765], [0.757, 0.757, 0.515], [0.132, 0.883, 0.265], [0.132, 0.382, 0.765]]
}



[3]
{
  "formula": "Ho7Tl3",
  "functional": "PBE-GGA",
  "state": "relaxed",
  "total_magnetization_mub_per_fu": 0.00,
  "delta_e_f_ev_per_atom": -0.17,
  "space_group": "No. 186",
  "n_ef_per_ev_atom": 1.15,
  "total_energy_ev_per_cell": -81.7,
  "cell": [[-5.040, 3.814, 0.589], [-6.342, -8.346, -0.227], [3.724, 3.507, 9.152]],
  "species": ["Ho", "Ho", "Ho", "Ho", "Ho", "Ho", "Ho", "Ho", "Ho", "Ho", "Ho", "Ho", "Ho", "Ho", "Tl", "Tl", "Tl", "Tl", "Tl", "Tl"],
  "fractional_positions": [[0.657, 0.940, 0.470], [0.157, 0.060, 0.530], [0.911, 0.871, 0.129], [0.411, 0.129, 0.257], [0.592, 0.333, 0.667], [0.911, 0.871, 0.743], [0.092, 0.667, 0.333], [0.411, 0.129, 0.871], [0.157, 0.470, 0.940], [0.657, 0.530, 0.470], [0.411, 0.743, 0.871], [0.657, 0.530, 0.060], [0.157, 0.470, 0.530], [0.911, 0.257, 0.129], [0.370, 0.809, 0.617], [0.870, 0.191, 0.809], [0.870, 0.191, 0.383], [0.370, 0.809, 0.191], [0.370, 0.383, 0.191], [0.870, 0.617, 0.809]]
}



[4]
{
  "formula": "Ho2Tl3",
  "functional": "PBE-GGA",
  "state": "relaxed",
  "total_magnetization_mub_per_fu": 0.00,
  "delta_e_f_ev_per_atom": -0.20,
  "space_group": "No. 62",
  "n_ef_per_ev_atom": 0.49,
  "total_energy_ev_per_cell": -69.0,
  "cell": [[-1.701, 3.279, 0.570], [-10.714, -5.607, 0.287], [1.156, -1.570, 12.481]],
  "species": ["Tl", "Tl", "Tl", "Tl", "Tl", "Tl", "Tl", "Tl", "Tl", "Tl", "Tl", "Tl", "Ho", "Ho", "Ho", "Ho", "Ho", "Ho", "Ho", "Ho"],
  "fractional_positions": [[0.750, 0.758, 0.767], [0.250, 0.258, 0.733], [0.250, 0.955, 0.327], [0.250, 0.658, 0.581], [0.750, 0.742, 0.267], [0.750, 0.158, 0.919], [0.750, 0.455, 0.173], [0.250, 0.842, 0.081], [0.750, 0.045, 0.673], [0.250, 0.545, 0.827], [0.750, 0.342, 0.419], [0.250, 0.242, 0.233], [0.750, 0.450, 0.640], [0.750, 0.050, 0.140], [0.250, 0.356, 0.990], [0.250, 0.550, 0.360], [0.250, 0.144, 0.490], [0.750, 0.856, 0.510], [0.750, 0.644, 0.010], [0.250, 0.950, 0.860]]
}



[5]
{
  "formula": "Ho5Tl",
  "functional": "PBE-GGA",
  "state": "relaxed",
  "total_magnetization_mub_per_fu": 0.00,
  "delta_e_f_ev_per_atom": -0.10,
  "space_group": "No. 8",
  "n_ef_per_ev_atom": 1.27,
  "total_energy_ev_per_cell": -25.9,
  "cell": [[-2.761, -2.034, 0.888], [4.981, -4.154, -1.091], [0.902, 2.210, 7.865]],
  "species": ["Tl", "Ho", "Ho", "Ho", "Ho", "Ho"],
  "fractional_positions": [[0.728, 0.456, 0.946], [0.048, 0.096, 0.609], [0.382, 0.764, 0.259], [0.661, 0.322, 0.341], [0.330, 0.659, 0.680], [0.018, 0.035, 0.999]]
}



[6]
{
  "formula": "HoTl2",
  "functional": "PBE-GGA",
  "state": "relaxed",
  "total_magnetization_mub_per_fu": 0.01,
  "delta_e_f_ev_per_atom": -0.11,
  "space_group": "No. 12",
  "n_ef_per_ev_atom": 0.84,
  "total_energy_ev_per_cell": -9.6,
  "cell": [[3.681, 0.126, -0.034], [0.126, 3.681, -0.034], [-1.910, -1.910, 6.184]],
  "species": ["Ho", "Tl", "Tl"],
  "fractional_positions": [[0.500, 0.500, 0.000], [0.168, 0.168, 0.335], [0.832, 0.832, 0.665]]
}



[7]
{
  "formula": "Ho6Tl5",
  "functional": "PBE-GGA",
  "state": "relaxed",
  "total_magnetization_mub_per_fu": 0.00,
  "delta_e_f_ev_per_atom": -0.17,
  "space_group": "No. 12",
  "n_ef_per_ev_atom": 0.90,
  "total_energy_ev_per_cell": -41.2,
  "cell": [[-4.581, -6.341, 3.457], [1.103, -3.055, 6.438], [-4.811, 3.119, 3.390]],
  "species": ["Ho", "Ho", "Ho", "Ho", "Ho", "Ho", "Tl", "Tl", "Tl", "Tl", "Tl"],
  "fractional_positions": [[0.348, 0.701, 0.808], [0.818, 0.000, 0.698], [0.049, 0.299, 0.808], [0.951, 0.701, 0.192], [0.182, 0.000, 0.302], [0.652, 0.299, 0.192], [0.630, 0.739, 0.000], [0.500, 0.000, 0.500], [0.771, 0.457, 0.500], [0.229, 0.543, 0.500], [0.370, 0.261, 0.000]]
}



[8]
{
  "formula": "Ho4Tl3",
  "functional": "PBE-GGA",
  "state": "relaxed",
  "total_magnetization_mub_per_fu": 0.00,
  "delta_e_f_ev_per_atom": -0.09,
  "space_group": "No. 12",
  "n_ef_per_ev_atom": 0.99,
  "total_energy_ev_per_cell": -26.0,
  "cell": [[-2.210, -3.446, 2.629], [-0.127, -3.935, -5.266], [7.171, 0.688, 2.429]],
  "species": ["Tl", "Tl", "Tl", "Ho", "Ho", "Ho", "Ho"],
  "fractional_positions": [[0.229, 0.305, 0.457], [0.000, 0.000, 0.000], [0.771, 0.695, 0.543], [0.865, 0.270, 0.730], [0.135, 0.730, 0.270], [0.565, 0.306, 0.130], [0.435, 0.694, 0.870]]
}



[9]
{
  "formula": "HoTl6",
  "functional": "PBE-GGA",
  "state": "relaxed",
  "total_magnetization_mub_per_fu": 0.00,
  "delta_e_f_ev_per_atom": 0.59,
  "space_group": "No. 229",
  "n_ef_per_ev_atom": 0.97,
  "total_energy_ev_per_cell": -14.7,
  "cell": [[-0.067, -7.085, -1.628], [3.313, 0.986, 6.396], [-6.830, 2.459, 0.404]],
  "species": ["Tl", "Tl", "Tl", "Tl", "Tl", "Tl", "Ho"],
  "fractional_positions": [[0.250, 0.500, 0.750], [0.500, 0.250, 0.750], [0.750, 0.250, 0.500], [0.250, 0.750, 0.500], [0.750, 0.500, 0.250], [0.500, 0.750, 0.250], [0.000, 0.000, 0.000]]
}



[10]
{
  "formula": "HoTl2",
  "functional": "PBE-GGA",
  "state": "relaxed",
  "total_magnetization_mub_per_fu": 0.00,
  "delta_e_f_ev_per_atom": 0.00,
  "space_group": "No. 227",
  "n_ef_per_ev_atom": 0.73,
  "total_energy_ev_per_cell": -18.6,
  "cell": [[6.194, 0.000, 0.000], [3.097, 5.364, 0.000], [3.097, 1.788, 5.057]],
  "species": ["Tl", "Tl", "Tl", "Tl", "Ho", "Ho"],
  "fractional_positions": [[0.625, 0.125, 0.625], [0.125, 0.625, 0.625], [0.625, 0.625, 0.125], [0.625, 0.625, 0.625], [0.250, 0.250, 0.250], [0.000, 0.000, 0.000]]
}



[11]
{
  "formula": "Ho3Tm4Tl",
  "functional": "PBE-GGA",
  "state": "relaxed",
  "total_magnetization_mub_per_fu": 0.00,
  "delta_e_f_ev_per_atom": -0.07,
  "space_group": "No. 31",
  "n_ef_per_ev_atom": 1.19,
  "total_energy_ev_per_cell": -69.1,
  "cell": [[6.104, 0.000, 0.000], [0.000, 6.936, 0.000], [0.000, 0.000, 11.097]],
  "species": ["Ho", "Ho", "Ho", "Ho", "Ho", "Ho", "Tl", "Tl", "Tm", "Tm", "Tm", "Tm", "Tm", "Tm", "Tm", "Tm"],
  "fractional_positions": [[0.973, 0.616, 0.759], [0.473, 0.384, 0.741], [0.131, 0.369, 0.500], [0.631, 0.631, 0.000], [0.973, 0.616, 0.241], [0.473, 0.384, 0.259], [0.651, 0.627, 0.500], [0.151, 0.373, 0.000], [0.164, 0.876, 0.000], [0.491, 0.876, 0.741], [0.641, 0.129, 0.000], [0.141, 0.871, 0.500], [0.991, 0.124, 0.759], [0.664, 0.124, 0.500], [0.491, 0.876, 0.259], [0.991, 0.124, 0.241]]
}



[12]
{
  "formula": "Ho4Tm5Tl2",
  "functional": "PBE-GGA",
  "state": "relaxed",
  "total_magnetization_mub_per_fu": 0.00,
  "delta_e_f_ev_per_atom": 0.10,
  "space_group": "No. 12",
  "n_ef_per_ev_atom": 1.13,
  "total_energy_ev_per_cell": -44.3,
  "cell": [[3.533, 0.000, 0.000], [0.000, 9.017, -1.342], [-1.767, -4.397, 11.507]],
  "species": ["Tm", "Tm", "Tm", "Tm", "Tm", "Ho", "Ho", "Ho", "Ho", "Tl", "Tl"],
  "fractional_positions": [[0.179, 0.972, 0.357], [0.821, 0.028, 0.643], [0.873, 0.703, 0.746], [0.127, 0.297, 0.254], [0.500, 0.000, 0.000], [0.397, 0.412, 0.794], [0.018, 0.718, 0.035], [0.982, 0.282, 0.965], [0.603, 0.588, 0.206], [0.736, 0.644, 0.471], [0.264, 0.356, 0.529]]
}



[13]
{
  "formula": "Ho6Tm8Tl",
  "functional": "PBE-GGA",
  "state": "relaxed",
  "total_magnetization_mub_per_fu": 0.00,
  "delta_e_f_ev_per_atom": 0.22,
  "space_group": "No. 147",
  "n_ef_per_ev_atom": 1.31,
  "total_energy_ev_per_cell": -62.4,
  "cell": [[-5.295, 3.960, 0.676], [0.944, 2.736, -8.630], [-5.166, -7.239, 1.940]],
  "species": ["Tm", "Tm", "Tm", "Tm", "Tm", "Tm", "Tm", "Tm", "Ho", "Ho", "Ho", "Ho", "Ho", "Ho", "Tl"],
  "fractional_positions": [[0.810, 0.333, 0.667], [0.190, 0.667, 0.333], [0.104, 0.021, 0.683], [0.896, 0.337, 0.021], [0.104, 0.663, 0.979], [0.896, 0.683, 0.663], [0.104, 0.317, 0.337], [0.896, 0.979, 0.317], [0.599, 0.918, 0.602], [0.599, 0.684, 0.082], [0.401, 0.602, 0.684], [0.401, 0.082, 0.398], [0.401, 0.316, 0.918], [0.599, 0.398, 0.316], [0.500, 0.000, 0.000]]
}



[14]
{
  "formula": "Ho5TmTl3",
  "functional": "PBE-GGA",
  "state": "relaxed",
  "total_magnetization_mub_per_fu": 0.60,
  "delta_e_f_ev_per_atom": -0.25,
  "space_group": "No. 193",
  "n_ef_per_ev_atom": 1.16,
  "total_energy_ev_per_cell": -73.4,
  "cell": [[-1.659, -4.718, 4.437], [-5.550, -4.002, -6.331], [8.943, -2.548, 0.635]],
  "species": ["Ho", "Ho", "Ho", "Ho", "Ho", "Ho", "Ho", "Ho", "Ho", "Ho", "Tl", "Tl", "Tl", "Tl", "Tl", "Tl", "Tm", "Tm"],
  "fractional_positions": [[0.500, 0.333, 0.667], [0.250, 0.000, 0.667], [0.250, 0.333, 0.333], [0.750, 0.000, 0.333], [0.000, 0.667, 0.333], [0.750, 0.333, 0.000], [0.750, 0.667, 0.667], [0.000, 0.333, 0.667], [0.250, 0.667, 0.000], [0.500, 0.667, 0.333], [0.750, 0.666, 0.000], [0.250, 0.334, 0.000], [0.250, 0.000, 0.333], [0.750, 0.333, 0.333], [0.250, 0.667, 0.667], [0.750, 0.000, 0.667], [0.000, 0.000, 0.000], [0.500, 0.000, 0.000]]
}



[15]
{
  "formula": "Ho4TmTl5",
  "functional": "PBE-GGA",
  "state": "relaxed",
  "total_magnetization_mub_per_fu": 0.00,
  "delta_e_f_ev_per_atom": -0.32,
  "space_group": "No. 123",
  "n_ef_per_ev_atom": 0.78,
  "total_energy_ev_per_cell": -37.8,
  "cell": [[3.733, 0.000, 0.000], [0.000, 3.733, 0.000], [0.000, 0.000, 19.336]],
  "species": ["Tl", "Tl", "Tl", "Tl", "Tl", "Ho", "Ho", "Ho", "Ho", "Tm"],
  "fractional_positions": [[0.500, 0.500, 0.098], [0.500, 0.500, 0.299], [0.500, 0.500, 0.902], [0.500, 0.500, 0.701], [0.500, 0.500, 0.500], [0.000, 0.000, 0.600], [0.000, 0.000, 0.801], [0.000, 0.000, 0.400], [0.000, 0.000, 0.199], [0.000, 0.000, 0.000]]
}



[16]
{
  "formula": "HoTm2Tl4",
  "functional": "PBE-GGA",
  "state": "relaxed",
  "total_magnetization_mub_per_fu": 0.00,
  "delta_e_f_ev_per_atom": -0.20,
  "space_group": "No. 139",
  "n_ef_per_ev_atom": 0.75,
  "total_energy_ev_per_cell": -24.4,
  "cell": [[6.065, 0.009, -2.129], [-3.020, 5.242, -2.170], [0.005, -0.009, 6.428]],
  "species": ["Ho", "Tl", "Tl", "Tl", "Tl", "Tm", "Tm"],
  "fractional_positions": [[0.000, 0.000, 0.000], [0.500, 0.000, 0.000], [0.500, 0.500, 0.500], [0.000, 0.000, 0.500], [0.000, 0.500, 0.000], [0.500, 0.500, 0.000], [0.500, 0.000, 0.500]]
}



[17]
{
  "formula": "HoTm3Tl4",
  "functional": "PBE-GGA",
  "state": "relaxed",
  "total_magnetization_mub_per_fu": 0.00,
  "delta_e_f_ev_per_atom": -0.30,
  "space_group": "No. 123",
  "n_ef_per_ev_atom": 0.68,
  "total_energy_ev_per_cell": -29.9,
  "cell": [[-2.193, 0.766, -2.948], [-3.044, -0.698, 2.082], [-0.495, 14.449, 4.120]],
  "species": ["Tl", "Tl", "Tl", "Tl", "Tm", "Tm", "Tm", "Ho"],
  "fractional_positions": [[0.000, 0.000, 0.624], [0.000, 0.000, 0.376], [0.000, 0.000, 0.127], [0.000, 0.000, 0.873], [0.500, 0.500, 0.749], [0.500, 0.500, 0.251], [0.500, 0.500, 0.500], [0.500, 0.500, 0.000]]
}



[18]
{
  "formula": "Ho4Tm3Tl2",
  "functional": "PBE-GGA",
  "state": "relaxed",
  "total_magnetization_mub_per_fu": 0.00,
  "delta_e_f_ev_per_atom": -0.08,
  "space_group": "No. 15",
  "n_ef_per_ev_atom": 1.40,
  "total_energy_ev_per_cell": -74.3,
  "cell": [[-6.045, -0.799, 2.112], [-4.505, -3.100, -7.668], [-0.421, -9.255, 1.693]],
  "species": ["Tm", "Tm", "Tm", "Tm", "Tm", "Tm", "Ho", "Ho", "Ho", "Ho", "Ho", "Ho", "Ho", "Ho", "Tl", "Tl", "Tl", "Tl"],
  "fractional_positions": [[0.036, 0.058, 0.154], [0.964, 0.942, 0.846], [0.750, 0.498, 0.502], [0.536, 0.154, 0.058], [0.464, 0.846, 0.942], [0.250, 0.502, 0.498], [0.475, 0.829, 0.306], [0.364, 0.514, 0.856], [0.136, 0.144, 0.486], [0.525, 0.171, 0.694], [0.975, 0.306, 0.829], [0.636, 0.486, 0.144], [0.864, 0.856, 0.514], [0.025, 0.694, 0.171], [0.636, 0.190, 0.363], [0.864, 0.637, 0.810], [0.364, 0.810, 0.637], [0.136, 0.363, 0.190]]
}



[19]
{
  "formula": "Ho15Tm4Tl",
  "functional": "PBE-GGA",
  "state": "relaxed",
  "total_magnetization_mub_per_fu": 0.00,
  "delta_e_f_ev_per_atom": -0.02,
  "space_group": "No. 123",
  "n_ef_per_ev_atom": 1.18,
  "total_energy_ev_per_cell": -89.2,
  "cell": [[4.925, 0.000, 0.000], [0.000, 4.925, 0.000], [0.000, 0.000, 24.949]],
  "species": ["Tm", "Tm", "Tm", "Tm", "Ho", "Ho", "Ho", "Ho", "Ho", "Ho", "Ho", "Ho", "Ho", "Ho", "Ho", "Ho", "Ho", "Ho", "Ho", "Tl"],
  "fractional_positions": [[0.000, 0.000, 0.801], [0.000, 0.000, 0.199], [0.000, 0.000, 0.399], [0.000, 0.000, 0.601], [0.500, 0.500, 0.804], [0.500, 0.000, 0.701], [0.500, 0.000, 0.500], [0.500, 0.500, 0.196], [0.500, 0.000, 0.098], [0.500, 0.500, 0.399], [0.000, 0.500, 0.902], [0.000, 0.500, 0.500], [0.500, 0.000, 0.902], [0.500, 0.500, 0.000], [0.500, 0.000, 0.299], [0.000, 0.500, 0.299], [0.000, 0.500, 0.701], [0.500, 0.500, 0.601], [0.000, 0.500, 0.098], [0.000, 0.000, 0.000]]
}



[20]
{
  "formula": "Ho3Tm5Tl2",
  "functional": "PBE-GGA",
  "state": "relaxed",
  "total_magnetization_mub_per_fu": 0.00,
  "delta_e_f_ev_per_atom": 0.15,
  "space_group": "No. 72",
  "n_ef_per_ev_atom": 1.31,
  "total_energy_ev_per_cell": -78.7,
  "cell": [[-3.428, 1.523, 5.114], [-2.077, -8.834, 5.171], [6.569, 3.668, 7.244]],
  "species": ["Tm", "Tm", "Tm", "Tm", "Tm", "Tm", "Tm", "Tm", "Tm", "Tm", "Ho", "Ho", "Ho", "Ho", "Ho", "Ho", "Tl", "Tl", "Tl", "Tl"],
  "fractional_positions": [[0.750, 0.500, 0.500], [0.998, 0.252, 0.252], [0.502, 0.748, 0.748], [0.002, 0.748, 0.748], [0.613, 0.222, 0.552], [0.250, 0.500, 0.500], [0.387, 0.778, 0.448], [0.498, 0.252, 0.252], [0.887, 0.448, 0.778], [0.113, 0.552, 0.222], [0.250, 0.000, 0.000], [0.621, 0.657, 0.102], [0.750, 0.000, 0.000], [0.121, 0.102, 0.657], [0.879, 0.898, 0.343], [0.379, 0.343, 0.898], [0.133, 0.721, 0.012], [0.633, 0.012, 0.721], [0.367, 0.988, 0.279], [0.867, 0.279, 0.988]]
}